YZrCu | PBE | optimized geometry

Magnetization   0.00 μB per formula unit
Energy of formation from the pure elements   -0.071 eV/atom
V   22.0 A^3/atom

a = 6.3153 Å, b = 6.3153 Å, c = 6.3153 Å
α = 149.14°, β = 149.14°, γ = 44.20°
Atoms (fractional coordinates):
Y 0.0000 0.0000 0.0000
Zr 0.6989 0.6989 0.0000
Cu 0.3255 0.3255 0.0000

Y3ZrCu | PBE | optimized geometry

Magnetization   0.72 μB per formula unit
Energy of formation from the pure elements   0.339 eV/atom
V   29.7 A^3/atom

a = 5.2964 Å, b = 5.2964 Å, c = 5.2964 Å
α = 90.00°, β = 90.00°, γ = 90.00°
Atoms (fractional coordinates):
Y 0.0000 0.0000 0.5000
Y 0.0000 0.5000 0.0000
Y 0.5000 0.0000 0.0000
Zr 0.5000 0.5000 0.5000
Cu 0.0000 0.0000 0.0000

YZrCu | PBE | optimized geometry

Magnetization   0.00 μB per formula unit
Energy of formation from the pure elements   -0.097 eV/atom
V   22.1 A^3/atom

a = 3.4247 Å, b = 4.4349 Å, c = 8.9020 Å
α = 89.87°, β = 78.98°, γ = 89.99°
Atoms (fractional coordinates):
Y 0.0966 0.2499 0.3064
Y 0.9034 0.7501 0.6936
Zr 0.2871 0.2505 0.9257
Zr 0.7129 0.7495 0.0743
Cu 0.4578 0.2499 0.5841
Cu 0.5422 0.7501 0.4159

YZrCu | PBE | optimized geometry

Magnetization   1.25 μB per formula unit
Energy of formation from the pure elements   0.256 eV/atom
V   24.2 A^3/atom

a = 4.6799 Å, b = 4.6799 Å, c = 4.6799 Å
α = 60.00°, β = 60.00°, γ = 60.00°
Atoms (fractional coordinates):
Y 0.0000 0.0000 0.0000
Zr 0.5000 0.5000 0.5000
Cu 0.7500 0.7500 0.7500

YZrCu | PBE | optimized geometry

Magnetization   0.00 μB per formula unit
Energy of formation from the pure elements   -0.056 eV/atom
V   21.9 A^3/atom

a = 6.7682 Å, b = 3.3424 Å, c = 11.6062 Å
α = 90.00°, β = 90.00°, γ = 90.00°
Atoms (fractional coordinates):
Y 0.1339 0.2500 0.1027
Y 0.3661 0.7500 0.6027
Y 0.6339 0.2500 0.3973
Y 0.8661 0.7500 0.8973
Zr 0.1120 0.2500 0.4027
Zr 0.3880 0.7500 0.9027
Zr 0.6120 0.2500 0.0973
Zr 0.8880 0.7500 0.5973
Cu 0.1314 0.2500 0.7603
Cu 0.3686 0.7500 0.2603
Cu 0.6314 0.2500 0.7397
Cu 0.8686 0.7500 0.2397

YZr2Cu | PBE | optimized geometry

Magnetization   0.00 μB per formula unit
Energy of formation from the pure elements   0.265 eV/atom
V   22.2 A^3/atom

a = 5.4862 Å, b = 5.4862 Å, c = 3.1810 Å
α = 90.00°, β = 90.00°, γ = 112.08°
Atoms (fractional coordinates):
Y 0.0000 0.0000 0.0000
Zr 0.0000 0.5000 0.5000
Zr 0.5000 0.0000 0.5000
Cu 0.5000 0.5000 0.0000